Entry 1:
{"formula": "Ba2CdIn6Ni", "functional": "GGA-PBE", "state": "relaxed", "final_energy_ev_per_cell": -29.430, "rho_g_cm3": 6.3, "space_group": "P-1", "dos_ef_per_ev_atom": 0.37, "lattice_angstrom": [[-1.592, -5.713, 3.908], [5.619, -4.226, -3.874], [5.012, -3.067, 4.011]], "species": ["In", "In", "In", "In", "In", "In", "Ba", "Ba", "Cd", "Ni"], "frac_coords": [[0.823, 0.343, 0.921], [0.741, 0.656, 0.520], [0.260, 0.341, 0.919], [0.259, 0.344, 0.480], [0.177, 0.657, 0.079], [0.740, 0.659, 0.081], [0.707, 0.124, 0.585], [0.293, 0.876, 0.415], [0.000, 0.000, 0.000], [0.500, 0.500, 0.000]]}

=====

Entry 2:
{"formula": "Sb3WCl", "functional": "GGA-PBE", "state": "relaxed", "polymorph_energy_mev_per_atom": 1255, "raw_formation_energy_ev_per_atom": 1.57, "final_energy_ev_per_cell": -19.330, "rho_g_cm3": 7.1, "space_group": "Pm-3m", "dos_ef_per_ev_atom": 0.50, "lattice_angstrom": [[5.140, 0.000, 0.000], [0.000, 5.140, 0.000], [0.000, 0.000, 5.140]], "species": ["Sb", "Sb", "Sb", "Cl", "W"], "frac_coords": [[0.500, 0.000, 0.000], [0.000, 0.500, 0.000], [0.000, 0.000, 0.500], [0.000, 0.000, 0.000], [0.500, 0.500, 0.500]]}

=====

Entry 3:
{"formula": "K2RuRh", "functional": "GGA-PBE", "state": "relaxed", "polymorph_energy_mev_per_atom": 532, "final_energy_ev_per_cell": -14.564, "rho_g_cm3": 5.4, "space_group": "P4/mmm", "dos_ef_per_ev_atom": 0.65, "lattice_angstrom": [[5.469, 0.000, 0.000], [0.000, 3.972, 0.000], [0.000, 0.000, 3.972]], "species": ["K", "K", "Ru", "Rh"], "frac_coords": [[0.000, 0.000, 0.000], [0.000, 0.500, 0.500], [0.500, 0.000, 0.500], [0.500, 0.500, 0.000]]}